Entry 1:
Nb2ZnCl2 PBE relaxed; V = 27.23 Å³/atom; DFT total energy = -4.926 eV/atom; crystal system = tetragonal; total moment = 0.51 μB/f.u.; ΔE to the lowest computed polymorph = 0 meV/atom; symmetry = I4/mmm (139)
1.0
3.939 0.000 0.000
0.000 3.939 0.000
1.969 1.969 8.776
Nb Zn Cl
2 1 2
direct
0.750 0.250 0.500
0.250 0.750 0.500
0.000 0.000 0.000
0.346 0.346 0.308
0.654 0.654 0.692

Entry 2:
NaSr6 PBE relaxed; V = 52.53 Å³/atom; ΔE_f = 0.020 eV/atom; DFT total energy = -1.610 eV/atom; crystal system = trigonal; total moment = 0.00 μB/f.u.; ΔE to the lowest computed polymorph = 0 meV/atom; symmetry = R-3 (148)
1.0
-2.874 -0.587 2.887
-2.502 -7.886 -6.050
8.226 -0.942 6.041
Na Sr
1 6
direct
0.500 0.000 0.000
0.609 0.576 0.854
0.754 0.146 0.722
0.967 0.722 0.576
0.033 0.278 0.424
0.246 0.854 0.278
0.391 0.424 0.146

Entry 3:
Ba3ReO7 PBE relaxed; V = 18.42 Å³/atom; DFT total energy = -6.929 eV/atom; crystal system = monoclinic; total moment = 1.02 μB/f.u.; symmetry = Cm (8)
1.0
-5.339 -1.471 2.054
0.640 -5.655 -1.581
0.539 -3.897 5.373
Ba Re O
3 1 7
direct
0.801 0.258 0.467
0.525 0.525 0.978
0.258 0.801 0.467
0.026 0.026 0.973
0.175 0.175 0.113
0.715 0.006 0.223
0.960 0.329 0.803
0.006 0.715 0.223
0.444 0.444 0.377
0.329 0.960 0.803
0.885 0.885 0.825

Question: Which value of total moment does entry 1 give?
Answer: 0.51 μB/f.u.